The following is a PBE calculation of a relaxed structure of PmPr8Cd2, from the Alexandria database.

Crystal system ... monoclinic
ΔH_f (0 K) ... 0.08 eV/atom
Energy above the most stable polymorph in this dataset ... 14.80 kJ/mol of atoms
Space group ... C2/m, No. 12
Calculated volume ... 374 Å³/cell

Unit cell a=9.4043 b=9.4043 c=6.5204 alpha=109.26 beta=109.26 gamma=43.97
Closest atoms and distances in Å follow each position.
Atoms (fractional coordinates):
1 Pm 0.0000 0.0000 0.0000  4 Pr 3.19, 2 Cd 3.31
2 Pr 0.2039 0.6481 0.5901  3 Pr 3.13-3.42, 1 Pm 3.19, 1 Cd 3.20
3 Pr 0.2289 0.2289 0.3712  2 Cd 3.37-3.59, 5 Pr 3.42-3.73
4 Pr 0.3519 0.7961 0.4099  3 Pr 3.13-3.42, 1 Pm 3.19, 1 Cd 3.20
5 Pr 0.3610 0.3610 0.0296  3 Cd 3.36-3.69, 3 Pr 3.73-3.76
6 Pr 0.6390 0.6390 0.9704  3 Cd 3.36-3.69, 3 Pr 3.73-3.76
7 Pr 0.6481 0.2039 0.5901  3 Pr 3.13-3.42, 1 Pm 3.19, 1 Cd 3.20
8 Pr 0.7711 0.7711 0.6288  2 Cd 3.37-3.59, 5 Pr 3.42-3.73
9 Pr 0.7961 0.3519 0.4099  3 Pr 3.13-3.42, 1 Pm 3.19, 1 Cd 3.20
10 Cd 0.1550 0.1550 0.8189  5 Pr 3.20-3.59, 1 Pm 3.31
11 Cd 0.8450 0.8450 0.1811  5 Pr 3.20-3.59, 1 Pm 3.31